DFT (PBE-GGA) results for crystalline Y2MgAl at its relaxed geometry.

Unit cell a=4.5908 b=4.5908 c=11.4265 alpha=78.41 beta=78.41 gamma=90.00
Last column: nearest neighbours and their distance in Å.
Sites, in units of the cell vectors:
Y1 0.6385 0.1250 0.2500  4 Y 3.16-3.34, 2 Al 3.16, 2 Mg 3.21
Y2 0.1115 0.6250 0.2500  4 Y 3.16-3.34, 2 Al 3.16, 2 Mg 3.21
Y3 0.3750 0.3615 0.7500  4 Y 3.16-3.34, 2 Al 3.16, 2 Mg 3.21
Y4 0.8750 0.8885 0.7500  4 Y 3.16-3.34, 2 Al 3.16, 2 Mg 3.21
Mg1 0.5000 0.5000 0.0000  4 Y 3.21, 4 Al 3.25
Mg2 0.2500 0.7500 0.5000  4 Y 3.21, 4 Al 3.25
Al1 0.0000 0.0000 0.0000  4 Y 3.16, 4 Mg 3.25
Al2 0.7500 0.2500 0.5000  4 Y 3.16, 4 Mg 3.25

SG = I-42d (122)
density of states at the Fermi level = 1.011 states/eV per atom
E_form = 0.36 eV/atom
calculated density = 3.30 g/cm³